A:
An optimized crystal structure of LaPm2, computed with PBE.

Calculated values
**Calculated volume**: 217.9 Å³/cell

```
LaPm2
1.0
0.0000 4.7758 4.7758
4.7758 0.0000 4.7758
4.7758 4.7758 0.0000
La Pm
2 4
direct
0.1250 0.1250 0.1250
0.8750 0.8750 0.8750
0.0000 0.5000 0.5000
0.5000 0.0000 0.5000
0.5000 0.5000 0.0000
0.5000 0.5000 0.5000
```


B:
An optimized crystal structure of LaPm2, computed with PBE.

Calculated values
**Calculated volume**: 429.5 Å³/cell

```
LaPm2
1.0
11.2171 0.0000 0.0000
0.0000 6.4523 0.0000
0.0000 0.0000 5.9349
La Pm
4 8
direct
0.0000 0.1698 0.2500
0.0000 0.8302 0.7500
0.5000 0.3302 0.7500
0.5000 0.6698 0.2500
0.1681 0.3337 0.7500
0.1681 0.6663 0.2500
0.3319 0.1663 0.2500
0.3319 0.8337 0.7500
0.6681 0.1663 0.2500
0.6681 0.8337 0.7500
0.8319 0.3337 0.7500
0.8319 0.6663 0.2500
```


The winner here is B, beating the second structure by 0.201 eV/atom.


A:
An optimized crystal structure of La3Pm4, computed with PBE.

Calculated values
**Calculated volume**: 497.8 Å³/cell

```
La3Pm4
1.0
17.2685 0.0000 0.0000
0.0000 3.5591 0.0000
-4.0695 0.0000 8.0995
La Pm
6 8
direct
0.0000 0.0000 0.0000
0.2219 0.0000 0.1489
0.2781 0.5000 0.8511
0.5000 0.5000 0.0000
0.7219 0.5000 0.1489
0.7781 0.0000 0.8511
0.0761 0.0000 0.6999
0.1368 0.5000 0.4110
0.3632 0.0000 0.5890
0.4239 0.5000 0.3001
0.5761 0.5000 0.6999
0.6368 0.0000 0.4110
0.8632 0.5000 0.5890
0.9239 0.0000 0.3001
```


B:
An optimized crystal structure of La3Pm4, computed with PBE.

Calculated values
**Calculated volume**: 498.6 Å³/cell

```
La3Pm4
1.0
11.6786 0.0000 0.0000
0.0000 5.2315 0.0000
-1.1632 0.0000 8.1608
La Pm
6 8
direct
0.0000 0.0000 0.0000
0.2140 0.5000 0.1443
0.2860 0.0000 0.8557
0.5000 0.5000 0.0000
0.7140 0.0000 0.1443
0.7860 0.5000 0.8557
0.0728 0.5000 0.7101
0.1419 0.0000 0.4293
0.3581 0.5000 0.5707
0.4272 0.0000 0.2899
0.5728 0.0000 0.7101
0.6419 0.5000 0.4293
0.8581 0.0000 0.5707
0.9272 0.5000 0.2899
```


The winner here is B, beating the second structure by 0.084 eV/atom.


A:
An optimized crystal structure of La8Pm3, computed with PBE.

Calculated values
**Calculated volume**: 402.3 Å³/cell

```
La8Pm3
1.0
4.9918 2.8820 4.6609
-4.9918 2.8820 4.6609
0.0000 -5.7640 4.6609
La Pm
8 3
direct
0.1141 0.1141 0.1141
0.1884 0.6091 0.3531
0.3531 0.1884 0.6091
0.3909 0.6469 0.8116
0.6091 0.3531 0.1884
0.6469 0.8116 0.3909
0.8116 0.3909 0.6469
0.8859 0.8859 0.8859
0.0000 0.0000 0.5000
0.0000 0.5000 0.0000
0.5000 0.0000 0.0000
```


B:
An optimized crystal structure of La8Pm3, computed with PBE.

Calculated values
**Calculated volume**: 397.4 Å³/cell

```
La8Pm3
1.0
5.8765 -2.6163 0.0000
5.8765 2.6163 0.0000
-3.4967 0.0000 12.9232
La Pm
8 3
direct
0.0455 0.0455 0.3175
0.1370 0.1370 0.9538
0.2270 0.2270 0.5898
0.3183 0.3183 0.2271
0.6817 0.6817 0.7729
0.7730 0.7730 0.4102
0.8630 0.8630 0.0462
0.9545 0.9545 0.6825
0.4087 0.4087 0.8646
0.5000 0.5000 0.5000
0.5913 0.5913 0.1354
```


The winner here is B, beating the second structure by 0.345 eV/atom.


A:
An optimized crystal structure of LaPmPr4, computed with PBE.

Calculated values
**Calculated volume**: 430.9 Å³/cell

```
LaPmPr4
1.0
5.9008 0.0000 0.0000
0.0000 10.1531 0.0000
-5.8917 0.0000 7.1916
La Pm Pr
2 2 8
direct
0.0000 0.2497 0.2500
0.0000 0.7503 0.7500
0.5000 0.2499 0.7500
0.5000 0.7501 0.2500
0.2494 0.0825 0.9992
0.2494 0.4179 0.9992
0.2494 0.5821 0.4992
0.2494 0.9175 0.4992
0.7506 0.0825 0.5008
0.7506 0.4179 0.5008
0.7506 0.5821 0.0008
0.7506 0.9175 0.0008
```


B:
An optimized crystal structure of LaPmPr4, computed with PBE.

Calculated values
**Calculated volume**: 221.1 Å³/cell

```
LaPmPr4
1.0
0.0000 4.7992 4.7992
4.7992 0.0000 4.7992
4.7992 4.7992 0.0000
La Pm Pr
1 1 4
direct
0.0000 0.0000 0.0000
0.2500 0.2500 0.2500
0.1265 0.6245 0.6245
0.6245 0.1265 0.6245
0.6245 0.6245 0.1265
0.6245 0.6245 0.6245
```


The winner here is A, beating the second structure by 0.187 eV/atom.


A:
An optimized crystal structure of La5Pm3Pr4, computed with PBE.

Calculated values
**Calculated volume**: 441.9 Å³/cell

```
La5Pm3Pr4
1.0
9.3379 -2.9669 0.0000
9.3379 2.9669 0.0000
-4.4232 0.0000 7.9750
La Pm Pr
5 3 4
direct
0.0000 0.0000 0.0000
0.3334 0.3334 0.1005
0.3958 0.3958 0.5730
0.6042 0.6042 0.4270
0.6666 0.6666 0.8995
0.1827 0.1827 0.2236
0.5000 0.5000 0.0000
0.8173 0.8173 0.7764
0.0322 0.0322 0.7057
0.2008 0.2008 0.6482
0.7992 0.7992 0.3518
0.9678 0.9678 0.2943
```


B:
An optimized crystal structure of La5Pm3Pr4, computed with PBE.

Calculated values
**Calculated volume**: 432.9 Å³/cell

```
La5Pm3Pr4
1.0
6.4198 0.0000 0.0000
-0.0143 7.4036 0.0000
-0.0031 -0.0184 9.1081
La Pm Pr
5 3 4
direct
0.0000 0.0000 0.0000
0.3325 0.5006 0.3335
0.4995 0.2513 0.9997
0.5005 0.7487 0.0003
0.6675 0.4994 0.6665
0.0000 0.5000 0.0000
0.1669 0.2505 0.6669
0.8331 0.7495 0.3331
0.1663 0.7502 0.6662
0.3343 0.9994 0.3339
0.6657 0.0006 0.6661
0.8337 0.2498 0.3338
```


The winner here is B, beating the second structure by 0.195 eV/atom.


A:
An optimized crystal structure of La2Pm3Pr8, computed with PBE.

Calculated values
**Calculated volume**: 481.9 Å³/cell

```
La2Pm3Pr8
1.0
10.5974 -3.8902 0.0000
10.5974 3.8902 0.0000
-0.0042 0.0000 5.8450
La Pm Pr
2 3 8
direct
0.2424 0.2424 0.4980
0.7576 0.7576 0.5020
0.0000 0.0000 0.5000
0.2856 0.7144 0.0000
0.7144 0.2856 0.0000
0.1315 0.1315 0.9993
0.1894 0.6028 0.4997
0.3310 0.3310 0.9988
0.3972 0.8106 0.5003
0.6028 0.1894 0.4997
0.6690 0.6690 0.0012
0.8106 0.3972 0.5003
0.8685 0.8685 0.0007
```


B:
An optimized crystal structure of La2Pm3Pr8, computed with PBE.

Calculated values
**Calculated volume**: 471.0 Å³/cell

```
La2Pm3Pr8
1.0
6.7336 -6.0407 0.0000
6.7336 6.0407 0.0000
-2.5037 0.0000 5.7898
La Pm Pr
2 3 8
direct
0.2106 0.2106 0.3491
0.7894 0.7894 0.6509
0.2566 0.7434 0.0000
0.5000 0.5000 0.5000
0.7434 0.2566 0.0000
0.0575 0.0575 0.7826
0.0747 0.5845 0.3270
0.3479 0.3479 0.9493
0.4155 0.9253 0.6730
0.5845 0.0747 0.3270
0.6521 0.6521 0.0507
0.9253 0.4155 0.6730
0.9425 0.9425 0.2174
```


The winner here is B, beating the second structure by 0.052 eV/atom.


A:
An optimized crystal structure of La2PmPr7, computed with PBE.

Calculated values
**Calculated volume**: 365.1 Å³/cell

```
La2PmPr7
1.0
3.4470 -14.9376 0.0000
3.4470 14.9376 0.0000
0.0000 0.0000 3.5451
La Pm Pr
2 1 7
direct
0.2035 0.7965 0.0000
0.7965 0.2035 0.0000
0.5000 0.5000 0.5000
0.0000 0.0000 0.0000
0.1558 0.3542 0.0000
0.3101 0.6899 0.5000
0.3542 0.1558 0.0000
0.6458 0.8442 0.0000
0.6899 0.3101 0.5000
0.8442 0.6458 0.0000
```


B:
An optimized crystal structure of La2PmPr7, computed with PBE.

Calculated values
**Calculated volume**: 362.8 Å³/cell

```
La2PmPr7
1.0
6.8681 0.0000 0.0000
0.0000 3.5141 0.0000
-2.3291 0.0000 15.0321
La Pm Pr
2 1 7
direct
0.1347 0.0000 0.4100
0.8653 0.0000 0.5900
0.0000 0.5000 0.0000
0.1806 0.0000 0.7996
0.3088 0.0000 0.1992
0.3812 0.5000 0.6111
0.5000 0.0000 0.0000
0.6188 0.5000 0.3889
0.6912 0.0000 0.8008
0.8194 0.0000 0.2004
```


The winner here is A, beating the second structure by 0.009 eV/atom.


A:
An optimized crystal structure of La2Pm5Pr, computed with PBE.

Calculated values
**Calculated volume**: 575.2 Å³/cell

```
La2Pm5Pr
1.0
2.8835 -6.0571 0.0000
2.8835 6.0571 0.0000
0.0000 0.0000 16.4677
La Pm Pr
4 10 2
direct
0.2200 0.7800 0.6290
0.2200 0.7800 0.8710
0.7800 0.2200 0.1290
0.7800 0.2200 0.3710
0.0773 0.9227 0.0905
0.0773 0.9227 0.4095
0.3816 0.6184 0.0506
0.3816 0.6184 0.4494
0.4631 0.5369 0.7500
0.5369 0.4631 0.2500
0.6184 0.3816 0.5506
0.6184 0.3816 0.9494
0.9227 0.0773 0.5905
0.9227 0.0773 0.9095
0.2591 0.7409 0.2500
0.7409 0.2591 0.7500
```


B:
An optimized crystal structure of La2Pm5Pr, computed with PBE.

Calculated values
**Calculated volume**: 1144.7 Å³/cell

```
La2Pm5Pr
1.0
11.9392 -3.2733 0.0000
11.9392 3.2733 0.0000
-10.4304 0.0000 14.6452
La Pm Pr
8 20 4
direct
0.0241 0.1094 0.2308
0.1094 0.0241 0.7308
0.1997 0.3590 0.4420
0.3590 0.1997 0.9420
0.6410 0.8003 0.0580
0.8003 0.6410 0.5580
0.8906 0.9759 0.2692
0.9759 0.8906 0.7692
0.0747 0.2304 0.9696
0.0786 0.3352 0.7132
0.1166 0.7762 0.4797
0.2238 0.8834 0.0203
0.2304 0.0747 0.4696
0.2986 0.3689 0.1665
0.3352 0.0786 0.2132
0.3689 0.2986 0.6665
0.4342 0.5206 0.1367
0.4794 0.5658 0.3633
0.5206 0.4342 0.6367
0.5658 0.4794 0.8633
0.6311 0.7014 0.3335
0.6648 0.9214 0.7868
0.7014 0.6311 0.8335
0.7696 0.9253 0.5304
0.7762 0.1166 0.9797
0.8834 0.2238 0.5203
0.9214 0.6648 0.2868
0.9253 0.7696 0.0304
0.2358 0.5380 0.8868
0.4620 0.7642 0.6132
0.5380 0.2358 0.3868
0.7642 0.4620 0.1132
```


The winner here is B, beating the second structure by 0.028 eV/atom.


A:
An optimized crystal structure of LaPm5Pr, computed with PBE.

Calculated values
**Calculated volume**: 623.3 Å³/cell

```
LaPm5Pr
1.0
5.8591 0.0000 0.0000
0.0000 8.8568 0.0000
0.0000 0.0000 12.0107
La Pm Pr
2 10 2
direct
0.0000 0.0000 0.0000
0.5000 0.5000 0.5000
0.0000 0.0000 0.2478
0.0000 0.0000 0.7522
0.0000 0.3201 0.5000
0.0000 0.5000 0.0000
0.0000 0.6799 0.5000
0.5000 0.0000 0.5000
0.5000 0.1799 0.0000
0.5000 0.5000 0.2522
0.5000 0.5000 0.7478
0.5000 0.8201 0.0000
0.0000 0.0000 0.5000
0.5000 0.5000 0.0000
```


B:
An optimized crystal structure of LaPm5Pr, computed with PBE.

Calculated values
**Calculated volume**: 494.2 Å³/cell

```
LaPm5Pr
1.0
6.0519 -3.4941 0.0000
6.0519 3.4941 0.0000
-4.5155 0.0000 11.6842
La Pm Pr
2 10 2
direct
0.0294 0.9706 0.7500
0.9706 0.0294 0.2500
0.1504 0.4098 0.7486
0.1976 0.6495 0.5006
0.3505 0.8024 0.9994
0.4098 0.1504 0.2486
0.4099 0.5901 0.2500
0.5901 0.4099 0.7500
0.5902 0.8496 0.7514
0.6495 0.1976 0.0006
0.8024 0.3505 0.4994
0.8496 0.5902 0.2514
0.0000 0.5000 0.0000
0.5000 0.0000 0.5000
```


The winner here is B, beating the second structure by 0.800 eV/atom.


A:
An optimized crystal structure of La4Pm5Pr2, computed with PBE.

Calculated values
**Calculated volume**: 393.7 Å³/cell

```
La4Pm5Pr2
1.0
9.0953 -1.8075 0.0000
9.0953 1.8075 0.0000
-0.9699 0.0000 11.9753
La Pm Pr
4 5 2
direct
0.0362 0.0362 0.2622
0.3593 0.3593 0.2014
0.6407 0.6407 0.7986
0.9638 0.9638 0.7378
0.0955 0.0955 0.5410
0.1779 0.1779 0.0711
0.5000 0.5000 0.0000
0.8221 0.8221 0.9289
0.9045 0.9045 0.4590
0.2846 0.2846 0.6430
0.7154 0.7154 0.3570
```


B:
An optimized crystal structure of La4Pm5Pr2, computed with PBE.

Calculated values
**Calculated volume**: 401.1 Å³/cell

```
La4Pm5Pr2
1.0
-1.7955 4.7609 11.7293
1.7955 -4.7609 11.7293
1.7955 4.7609 -11.7293
La Pm Pr
4 5 2
direct
0.0932 0.0932 0.0000
0.2081 0.5000 0.7081
0.7919 0.5000 0.2919
0.9068 0.9068 0.0000
0.1585 0.3534 0.8051
0.4516 0.6466 0.8051
0.5000 0.0000 0.5000
0.5484 0.3534 0.1949
0.8415 0.6466 0.1949
0.2285 0.2285 0.0000
0.7715 0.7715 0.0000
```


The winner here is A, beating the second structure by 0.148 eV/atom.


A:
An optimized crystal structure of LaPmPr2, computed with PBE.

Calculated values
**Calculated volume**: 144.3 Å³/cell

```
LaPmPr2
1.0
3.7066 0.0000 0.0000
0.0000 3.7066 0.0000
0.0000 0.0000 10.5064
La Pm Pr
1 1 2
direct
0.0000 0.0000 0.0000
0.0000 0.0000 0.5000
0.5000 0.5000 0.2532
0.5000 0.5000 0.7468
```


B:
An optimized crystal structure of LaPmPr2, computed with PBE.

Calculated values
**Calculated volume**: 579.3 Å³/cell

```
LaPmPr2
1.0
8.3360 0.0000 0.0000
0.0000 8.3360 0.0000
0.0000 0.0000 8.3360
La Pm Pr
4 4 8
direct
0.0000 0.0000 0.0000
0.0000 0.5000 0.5000
0.5000 0.0000 0.5000
0.5000 0.5000 0.0000
0.0000 0.0000 0.5000
0.0000 0.5000 0.0000
0.5000 0.0000 0.0000
0.5000 0.5000 0.5000
0.2500 0.2500 0.2500
0.2500 0.2500 0.7500
0.2500 0.7500 0.2500
0.2500 0.7500 0.7500
0.7500 0.2500 0.2500
0.7500 0.2500 0.7500
0.7500 0.7500 0.2500
0.7500 0.7500 0.7500
```


The winner here is A, beating the second structure by 0.117 eV/atom.